The following is a DFT calculation (GGA-PBE) of La2PmSm7Cd2 after structural relaxation.

abc: 6.985 10.286 11.034
angles: 90.00 90.00 90.00
Space group Cmmm (No. 65)
Unique sites:
La  0.000  0.000  0.150 [4 per cell]
Pm  0.000  0.500  0.500 [2 per cell]
Sm  0.000  0.000  0.500 [2 per cell]
Sm  0.000  0.305  0.000 [4 per cell]
Sm  0.250  0.250  0.328 [8 per cell]
Cd  0.000  0.500  0.223 [4 per cell]

Summary:
formation enthalpy at 0 K	0.0055	eV per atom